A plane-wave DFT calculation with PBE-GGA was carried out for a relaxed Pu2MnGe3Pt4 crystal.

Properties
* space group: P-4m2 (115)
* energy relative to the elements: -0.624 eV/atom

abc: 4.1316 4.1316 11.0589
angles: 90.00 90.00 90.00
Last column: nearest neighbours and their distance in Å.
Positions (direct):
Pu (0.0000, 0.5000, 0.7505)  8 Pt 3.16-3.45, 6 Ge 3.18-3.46, 2 Mn 3.46
Pu (0.5000, 0.0000, 0.2495)  8 Pt 3.16-3.45, 6 Ge 3.18-3.46, 2 Mn 3.46
Ge (0.5000, 0.0000, 0.8647)  5 Pt 2.46-2.55
Ge (0.0000, 0.5000, 0.1353)  5 Pt 2.46-2.55
Ge (0.0000, 0.0000, 0.5000)  4 Pt 2.60
Pt (0.0000, 0.0000, 0.0000)  4 Ge 2.55
Pt (0.5000, 0.0000, 0.6420)  3 Ge 2.46-2.60, 2 Mn 2.60
Pt (0.5000, 0.5000, 0.0000)  4 Ge 2.55
Pt (0.0000, 0.5000, 0.3580)  3 Ge 2.46-2.60, 2 Mn 2.60
Mn (0.5000, 0.5000, 0.5000)  4 Pt 2.60

***

A plane-wave DFT calculation with PBE-GGA was carried out for a relaxed NdTlInAg crystal.

Properties
* space group: F-43m (216)
* energy relative to the elements: -0.255 eV/atom

abc: 5.2337 5.2337 5.2337
angles: 60.00 60.00 60.00
Last column: nearest neighbours and their distance in Å.
Positions (direct):
Tl (0.5000, 0.5000, 0.5000)  4 In 3.20, 4 Nd 3.20
In (0.2500, 0.2500, 0.2500)  4 Tl 3.20, 4 Ag 3.20
Ag (0.0000, 0.0000, 0.0000)  4 Nd 3.20, 4 In 3.20
Nd (0.7500, 0.7500, 0.7500)  4 Tl 3.20, 4 Ag 3.20